# 1
VASP calculation (PBE) on an optimized crystal structure of RbBrCl3.

a b c (Å): 5.9870 5.9870 11.2722
angles (deg): 90.00 90.00 120.00
Space group P6_3/mmc (No. 194)
One atom of each set of equivalent atoms:
Rb  0.3333  0.6667  0.2500 x2
Br  0.0000  0.0000  0.0000 x2
Cl  0.0000  0.0000  0.2500 x2
Cl  0.3333  0.6667  0.6610 x4

Computed properties:
Uncorrected formation energy, eV per atom: -0.6213

---

# 2
VASP calculation (PBE) on an optimized crystal structure of RbBrCl3.

a b c (Å): 4.987 4.987 33.670
angles (deg): 90.00 90.00 90.00
Space group I-4m2 (No. 119)
One atom of each set of equivalent atoms:
Rb  0.000  0.000  0.000 x2
Rb  0.000  0.500  0.250 x2
Br  0.000  0.500  0.692 x4
Cl  0.000  0.000  0.316 x4
Cl  0.000  0.256  0.086 x8

Computed properties:
Uncorrected formation energy, eV per atom: -0.6520

---

# 3
VASP calculation (PBE) on an optimized crystal structure of Rb2BrCl6.

a b c (Å): 10.531 6.069 10.303
angles (deg): 90.00 90.17 90.00
Space group C2/m (No. 12)
One atom of each set of equivalent atoms:
Rb  0.167  0.000  0.251 x4
Br  0.000  0.500  0.500 x2
Cl  0.000  0.500  0.265 x4
Cl  0.166  0.000  0.663 x4
Cl  0.168  0.000  0.883 x4

Computed properties:
Uncorrected formation energy, eV per atom: -0.7329